Compound: Mg2ScSb
Source: the Alexandria database
Functional: meta-GGA SCAN
Structure: PBEsol geometry

## Properties
total energy	-15.598	eV per atom
uncorrected formation energy	-0.236	eV/atom

abc: 5.9077 9.3267 3.3452
angles: 90.00 90.00 90.00
Space group Cmmm (No. 65)
Symmetry-distinct sites (fractional):
Mg  0.2500  0.2500  0.0000 (multiplicity 4)
Sc  0.0000  0.0000  0.5000 (multiplicity 2)
Sb  0.0000  0.5000  0.5000 (multiplicity 2)